Entry 1:
PrSm4Tm8: optimized geometry, PBE-GGA.

Lattice parameters (Å, degrees): 10.970 10.970 7.758 90.00 134.99 120.00
Site moments in Bohr magnetons follow the coordinates.
Positions (direct):
Pr (0.000, 0.500, 0.500)  0.08
Sm (0.000, 0.000, 0.000)  -0.06
Sm (0.000, 0.500, 0.000)  0.16
Sm (0.500, 0.500, 0.000)  0.16
Sm (0.500, 0.000, 0.000)  0.16
Tm (0.522, 0.761, 0.283)  0.09
Tm (0.478, 0.239, 0.717)  0.09
Tm (0.478, 0.239, 0.240)  0.09
Tm (0.999, 0.239, 0.760)  0.09
Tm (0.522, 0.761, 0.760)  0.09
Tm (0.999, 0.761, 0.760)  0.09
Tm (0.001, 0.239, 0.240)  0.09
Tm (0.001, 0.761, 0.240)  0.09

Values from the calculation:
Space group = Pm-3m, No. 221

Entry 2:
Pr4SmTm8: optimized geometry, PBE-GGA.

Lattice parameters (Å, degrees): 7.799 7.799 7.799 90.14 90.14 90.14
Site moments in Bohr magnetons follow the coordinates.
Positions (direct):
Pr (0.500, 0.000, 0.500)  0.21
Pr (0.000, 0.500, 0.500)  0.21
Pr (0.500, 0.500, 0.000)  0.21
Pr (0.000, 0.000, 0.000)  -0.06
Sm (0.500, 0.500, 0.500)  0.09
Tm (0.239, 0.759, 0.239)  0.12
Tm (0.761, 0.761, 0.241)  0.12
Tm (0.761, 0.241, 0.761)  0.12
Tm (0.241, 0.761, 0.761)  0.12
Tm (0.760, 0.760, 0.760)  0.12
Tm (0.240, 0.240, 0.240)  0.12
Tm (0.759, 0.239, 0.239)  0.12
Tm (0.239, 0.239, 0.759)  0.12

Values from the calculation:
Space group = R-3m, No. 166

Entry 3:
PrSm8Tm4: optimized geometry, PBE-GGA.

Lattice parameters (Å, degrees): 7.317 7.317 10.214 90.00 110.99 120.00
Positions (direct):
Pr (0.000, 0.500, 0.500)
Sm (0.566, 0.783, 0.349)
Sm (0.434, 0.217, 0.651)
Sm (0.498, 0.249, 0.296)
Sm (0.952, 0.201, 0.704)
Sm (0.502, 0.751, 0.704)
Sm (0.952, 0.751, 0.704)
Sm (0.048, 0.249, 0.296)
Sm (0.048, 0.799, 0.296)
Tm (0.000, 0.000, 0.000)
Tm (0.000, 0.500, 0.000)
Tm (0.500, 0.500, 0.000)
Tm (0.500, 0.000, 0.000)

Values from the calculation:
Space group = R-3m, No. 166

Entry 4:
Pr2SmTm3: optimized geometry, PBE-GGA.

Lattice parameters (Å, degrees): 3.511 9.114 13.013 78.18 82.25 78.89
Positions (direct):
Pr (0.820, 0.481, 0.880)
Pr (0.180, 0.519, 0.120)
Pr (0.655, 0.158, 0.533)
Pr (0.345, 0.842, 0.467)
Sm (0.437, 0.482, 0.643)
Sm (0.563, 0.518, 0.357)
Tm (0.040, 0.126, 0.795)
Tm (0.960, 0.874, 0.205)
Tm (0.598, 0.830, 0.974)
Tm (0.402, 0.170, 0.026)
Tm (0.736, 0.820, 0.708)
Tm (0.264, 0.180, 0.292)

Values from the calculation:
Relative energy among the computed polymorphs = 0 meV per atom
Space group = C2/m, No. 12

Entry 5:
PrSm3Tm5: optimized geometry, PBE-GGA.

Lattice parameters (Å, degrees): 5.985 10.048 11.395 112.15 90.00 107.33
Positions (direct):
Pr (0.906, 0.000, 0.750)
Pr (0.094, 0.000, 0.250)
Sm (0.000, 0.000, 0.000)
Sm (0.415, 0.361, 0.363)
Sm (0.000, 0.000, 0.500)
Sm (0.585, 0.639, 0.637)
Sm (0.947, 0.361, 0.863)
Sm (0.053, 0.639, 0.137)
Tm (0.411, 0.000, 0.750)
Tm (0.576, 0.657, 0.968)
Tm (0.905, 0.323, 0.196)
Tm (0.424, 0.343, 0.032)
Tm (0.582, 0.677, 0.304)
Tm (0.589, 0.000, 0.250)
Tm (0.081, 0.657, 0.468)
Tm (0.919, 0.343, 0.532)
Tm (0.418, 0.323, 0.696)
Tm (0.095, 0.677, 0.804)

Values from the calculation:
Relative energy among the computed polymorphs = 0 meV per atom
Space group = C2/c, No. 15

Entry 6:
PrSm5Tm5: optimized geometry, PBE-GGA.

Lattice parameters (Å, degrees): 6.060 6.060 11.824 90.00 90.00 120.00
Positions (direct):
Pr (0.333, 0.667, 0.000)
Sm (0.667, 0.333, 0.155)
Sm (0.667, 0.333, 0.845)
Sm (0.333, 0.667, 0.320)
Sm (0.333, 0.667, 0.680)
Sm (0.000, 0.000, 0.000)
Tm (0.333, 0.166, 0.500)
Tm (0.000, 0.000, 0.267)
Tm (0.834, 0.667, 0.500)
Tm (0.834, 0.166, 0.500)
Tm (0.000, 0.000, 0.733)

Values from the calculation:
Space group = P-6m2, No. 187

| no. | E_form (eV/atom) | Fermi-level density of states (states/eV per atom) |
| --- | --- | --- |
| 1 | 0.528 | 1.6660 |
| 2 | 0.532 | 1.7415 |
| 3 | 0.186 | 1.0994 |
| 4 | 0.122 | 1.5990 |
| 5 | 0.331 | 1.5023 |
| 6 | 0.294 | 2.0697 |